Arrangement one

The following is a DFT calculation (PBE-GGA) of crystalline Li2CaVBi at its relaxed geometry.

The calculation puts the calculated density at 3.75 Mg/m³.

Cell: 5.142 5.260 5.142 Å, 90.00 90.00 90.00°
Sites, in units of the cell vectors:
1 Li 0.500 0.000 0.000
2 V 0.000 0.500 0.000
3 Li 0.000 0.000 0.500
4 Bi 0.500 0.500 0.500
5 Ca 0.000 0.000 0.000

Arrangement two

The following is a DFT calculation (PBE-GGA) of crystalline Li2CaVBi at its relaxed geometry.

The calculation puts the calculated density at 3.70 Mg/m³.

Cell: 4.995 5.646 4.995 Å, 90.00 90.00 90.00°
Sites, in units of the cell vectors:
1 V 0.000 0.000 0.000
2 Ca 0.000 0.500 0.000
3 Bi 0.500 0.500 0.500
4 Li 0.500 0.000 0.000
5 Li 0.000 0.000 0.500

Stability ranking, top entry: arrangement two; the second entry is 0.406 eV/atom less favorable.

Arrangement one

The following is a DFT calculation (PBE-GGA) of crystalline CaLuBi2 at its relaxed geometry.

The calculation puts the calculated density at 8.81 Mg/m³.

Cell: 3.767 3.767 8.404 Å, 90.00 90.00 90.00°
Sites, in units of the cell vectors:
1 Ca 0.500 0.500 0.500
2 Bi 0.000 0.000 0.763
3 Lu 0.500 0.500 0.000
4 Bi 0.000 0.000 0.237

Arrangement two

The following is a DFT calculation (PBE-GGA) of crystalline CaLuBi2 at its relaxed geometry.

The calculation puts the calculated density at 8.81 Mg/m³.

Cell: 5.526 5.526 5.526 Å, 60.00 60.00 60.00°
Sites, in units of the cell vectors:
1 Bi 0.250 0.250 0.250
2 Bi 0.750 0.750 0.750
3 Ca 0.500 0.500 0.500
4 Lu 0.000 0.000 0.000

Stability ranking, top entry: arrangement one; the second entry is 0.037 eV/atom less favorable.

Arrangement one

The following is a DFT calculation (PBE-GGA) of crystalline CaMg2Bi2 at its relaxed geometry.

The calculation puts the calculated density at 5.55 Mg/m³.

Cell: 4.512 4.512 8.102 Å, 73.83 73.83 90.00°
Sites, in units of the cell vectors:
1 Mg 0.750 0.250 0.500
2 Bi 0.382 0.382 0.236
3 Ca 0.000 0.000 0.000
4 Mg 0.250 0.750 0.500
5 Bi 0.618 0.618 0.764

Arrangement two

The following is a DFT calculation (PBE-GGA) of crystalline CaMg2Bi2 at its relaxed geometry.

The calculation puts the calculated density at 5.94 Mg/m³.

Cell: 8.565 8.565 3.858 Å, 90.00 90.00 90.00°
Sites, in units of the cell vectors:
1 Bi 0.820 0.320 0.500
2 Ca 0.500 0.500 0.000
3 Mg 0.879 0.621 0.000
4 Mg 0.121 0.379 0.000
5 Mg 0.379 0.879 0.000
6 Bi 0.680 0.820 0.500
7 Mg 0.621 0.121 0.000
8 Bi 0.320 0.180 0.500
9 Ca 0.000 0.000 0.000
10 Bi 0.180 0.680 0.500

Arrangement three

The following is a DFT calculation (PBE-GGA) of crystalline CaMg2Bi2 at its relaxed geometry.

The calculation puts the calculated density at 5.45 Mg/m³.

Cell: 4.801 4.801 7.731 Å, 90.00 90.00 120.00°
Sites, in units of the cell vectors:
1 Mg 0.667 0.333 0.372
2 Bi 0.667 0.333 0.761
3 Ca 0.000 0.000 0.000
4 Bi 0.333 0.667 0.239
5 Mg 0.333 0.667 0.628

Stability ranking, top entry: arrangement three; the second entry is 0.126 eV/atom less favorable.

Arrangement one

The following is a DFT calculation (PBE-GGA) of crystalline Ca3MgBi at its relaxed geometry.

The calculation puts the calculated density at 2.68 Mg/m³.

Cell: 6.026 6.026 6.026 Å, 90.00 90.00 90.00°
Sites, in units of the cell vectors:
1 Ca 0.000 0.500 0.000
2 Ca 0.500 0.000 0.000
3 Ca 0.000 0.000 0.500
4 Bi 0.000 0.000 0.000
5 Mg 0.500 0.500 0.500

Arrangement two

The following is a DFT calculation (PBE-GGA) of crystalline Ca3MgBi at its relaxed geometry.

The calculation puts the calculated density at 2.95 Mg/m³.

Cell: 5.836 5.836 5.836 Å, 90.00 90.00 90.00°
Sites, in units of the cell vectors:
1 Ca 0.500 0.000 0.000
2 Ca 0.000 0.500 0.000
3 Bi 0.500 0.500 0.500
4 Ca 0.000 0.000 0.500
5 Mg 0.000 0.000 0.000

Stability ranking, top entry: arrangement one; the second entry is 0.279 eV/atom less favorable.

Arrangement one

The following is a DFT calculation (PBE-GGA) of crystalline CaMgBi3 at its relaxed geometry.

The calculation puts the calculated density at 5.83 Mg/m³.

Cell: 5.817 5.817 5.817 Å, 90.00 90.00 90.00°
Sites, in units of the cell vectors:
1 Mg 0.500 0.500 0.500
2 Bi 0.500 0.000 0.000
3 Ca 0.000 0.000 0.000
4 Bi 0.000 0.000 0.500
5 Bi 0.000 0.500 0.000

Arrangement two

The following is a DFT calculation (PBE-GGA) of crystalline CaMgBi3 at its relaxed geometry.

The calculation puts the calculated density at 7.63 Mg/m³.

Cell: 6.720 6.468 13.846 Å, 90.00 90.00 90.00°
Sites, in units of the cell vectors:
1 Ca 0.250 0.015 0.686
2 Bi 0.750 0.996 0.742
3 Bi 0.250 0.004 0.258
4 Ca 0.250 0.515 0.314
5 Bi 0.250 0.504 0.742
6 Bi 0.250 0.695 0.076
7 Bi 0.750 0.305 0.924
8 Ca 0.750 0.485 0.686
9 Bi 0.750 0.496 0.258
10 Bi 0.250 0.195 0.924
11 Mg 0.500 0.750 0.885
12 Mg 0.500 0.250 0.115
13 Bi 0.500 0.250 0.490
14 Bi 0.000 0.750 0.510
15 Mg 0.000 0.250 0.115
16 Bi 0.000 0.250 0.490
17 Bi 0.500 0.750 0.510
18 Mg 0.000 0.750 0.885
19 Ca 0.750 0.985 0.314
20 Bi 0.750 0.805 0.076

Stability ranking, top entry: arrangement two; the second entry is 0.814 eV/atom less favorable.

Arrangement one

The following is a DFT calculation (PBE-GGA) of crystalline Ca2MgBi at its relaxed geometry.

The calculation puts the calculated density at 4.30 Mg/m³.

Cell: 4.486 5.196 5.196 Å, 90.00 90.00 90.00°
Sites, in units of the cell vectors:
1 Ca 0.000 0.000 0.500
2 Mg 0.500 0.000 0.000
3 Bi 0.500 0.500 0.500
4 Ca 0.000 0.500 0.000

Arrangement two

The following is a DFT calculation (PBE-GGA) of crystalline Ca2MgBi at its relaxed geometry.

The calculation puts the calculated density at 4.18 Mg/m³.

Cell: 5.606 5.606 5.606 Å, 60.00 60.00 60.00°
Sites, in units of the cell vectors:
1 Mg 0.000 0.000 0.000
2 Bi 0.500 0.500 0.500
3 Ca 0.750 0.750 0.750
4 Ca 0.250 0.250 0.250

Arrangement three

The following is a DFT calculation (PBE-GGA) of crystalline Ca2MgBi at its relaxed geometry.

The calculation puts the calculated density at 4.22 Mg/m³.

Cell: 4.087 4.087 7.392 Å, 90.00 90.00 90.00°
Sites, in units of the cell vectors:
1 Ca 0.000 0.000 0.240
2 Ca 0.000 0.000 0.760
3 Bi 0.500 0.500 0.000
4 Mg 0.500 0.500 0.500

Arrangement four

The following is a DFT calculation (PBE-GGA) of crystalline Ca2MgBi at its relaxed geometry.

The calculation puts the calculated density at 3.70 Mg/m³.

Cell: 5.020 5.020 11.704 Å, 77.61 77.61 90.00°
Sites, in units of the cell vectors:
1 Bi 0.000 0.000 0.000
2 Bi 0.750 0.250 0.500
3 Ca 0.636 0.125 0.250
4 Ca 0.375 0.364 0.750
5 Mg 0.250 0.750 0.500
6 Ca 0.114 0.625 0.250
7 Mg 0.500 0.500 0.000
8 Ca 0.875 0.886 0.750

Stability ranking, top entry: arrangement one; the second entry is 0.039 eV/atom less favorable.

Arrangement one

The following is a DFT calculation (PBE-GGA) of crystalline CaMg3Bi3 at its relaxed geometry.

The calculation puts the calculated density at 5.49 Mg/m³.

Cell: 8.284 8.284 8.923 Å, 62.34 62.34 60.00°
Sites, in units of the cell vectors:
1 Ca 0.334 0.334 0.999
2 Bi 0.245 0.604 0.226
3 Mg 0.878 0.532 0.370
4 Mg 0.532 0.219 0.370
5 Bi 0.396 0.076 0.774
6 Bi 0.604 0.924 0.226
7 Mg 0.468 0.781 0.630
8 Bi 0.076 0.755 0.774
9 Mg 0.781 0.122 0.630
10 Ca 0.666 0.666 0.001
11 Mg 0.219 0.878 0.370
12 Bi 0.924 0.245 0.226
13 Bi 0.755 0.396 0.774
14 Mg 0.122 0.468 0.630

Arrangement two

The following is a DFT calculation (PBE-GGA) of crystalline CaMg3Bi3 at its relaxed geometry.

The calculation puts the calculated density at 4.53 Mg/m³.

Cell: 4.096 12.363 12.363 Å, 120.02 90.00 90.00°
Sites, in units of the cell vectors:
1 Bi 0.250 0.300 0.871
2 Bi 0.250 0.571 0.700
3 Bi 0.750 0.700 0.129
4 Bi 0.750 0.429 0.300
5 Mg 0.250 0.064 0.632
6 Ca 0.250 0.667 0.333
7 Ca 0.750 0.333 0.667
8 Bi 0.750 0.872 0.571
9 Mg 0.250 0.368 0.432
10 Bi 0.250 0.128 0.429
11 Mg 0.750 0.936 0.368
12 Mg 0.750 0.432 0.064
13 Mg 0.750 0.632 0.568
14 Mg 0.250 0.568 0.936

Stability ranking, top entry: arrangement one; the second entry is 0.076 eV/atom less favorable.

Arrangement one

The following is a DFT calculation (PBE-GGA) of crystalline CaMg2BiN at its relaxed geometry.

The calculation puts the calculated density at 5.27 Mg/m³.

Cell: 4.477 4.477 4.900 Å, 90.00 90.00 90.00°
Sites, in units of the cell vectors:
1 Mg 0.500 0.000 0.000
2 N 0.000 0.000 0.000
3 Ca 0.000 0.000 0.500
4 Bi 0.500 0.500 0.500
5 Mg 0.000 0.500 0.000

Arrangement two

The following is a DFT calculation (PBE-GGA) of crystalline CaMg2BiN at its relaxed geometry.

The calculation puts the calculated density at 3.40 Mg/m³.

Cell: 5.836 4.471 5.836 Å, 90.00 90.00 90.00°
Sites, in units of the cell vectors:
1 Bi 0.000 0.000 0.000
2 Mg 0.500 0.000 0.000
3 N 0.000 0.500 0.000
4 Ca 0.500 0.500 0.500
5 Mg 0.000 0.000 0.500

Stability ranking, top entry: arrangement one; the second entry is 1.476 eV/atom less favorable.

Arrangement one

The following is a DFT calculation (PBE-GGA) of crystalline CaMn2Bi2 at its relaxed geometry.

The calculation puts the calculated density at 6.61 Mg/m³.

Cell: 4.612 4.612 7.746 Å, 90.00 90.00 120.00°
Sites, in units of the cell vectors:
1 Ca 0.000 0.000 0.000
2 Mn 0.333 0.667 0.619
3 Mn 0.667 0.333 0.381
4 Bi 0.667 0.333 0.751
5 Bi 0.333 0.667 0.249

Arrangement two

The following is a DFT calculation (PBE-GGA) of crystalline CaMn2Bi2 at its relaxed geometry.

The calculation puts the calculated density at 7.21 Mg/m³.

Cell: 4.323 4.323 7.640 Å, 73.57 73.57 90.00°
Sites, in units of the cell vectors:
1 Mn 0.750 0.250 0.500
2 Bi 0.379 0.379 0.242
3 Mn 0.250 0.750 0.500
4 Ca 0.000 0.000 0.000
5 Bi 0.621 0.621 0.758

Stability ranking, top entry: arrangement two; the second entry is 0.023 eV/atom less favorable.

Arrangement one

The following is a DFT calculation (PBE-GGA) of crystalline CaBi2Mo at its relaxed geometry.

The calculation puts the calculated density at 9.59 Mg/m³.

Cell: 5.138 5.138 5.138 Å, 60.00 60.00 60.00°
Sites, in units of the cell vectors:
1 Ca 0.000 0.000 0.000
2 Mo 0.500 0.500 0.500
3 Bi 0.250 0.250 0.250
4 Bi 0.750 0.750 0.750

Arrangement two

The following is a DFT calculation (PBE-GGA) of crystalline CaBi2Mo at its relaxed geometry.

The calculation puts the calculated density at 8.00 Mg/m³.

Cell: 8.275 8.275 6.747 Å, 52.18 52.18 90.00°
Sites, in units of the cell vectors:
1 Mo 0.750 0.250 0.500
2 Bi 0.664 0.125 0.250
3 Ca 0.250 0.750 0.500
4 Bi 0.375 0.336 0.750
5 Bi 0.875 0.914 0.750
6 Mo 0.000 0.000 0.000
7 Bi 0.086 0.625 0.250
8 Ca 0.500 0.500 0.000

Stability ranking, top entry: arrangement one; the second entry is 0.102 eV/atom less favorable.

Arrangement one

The following is a DFT calculation (PBE-GGA) of crystalline CaBiSN2 at its relaxed geometry.

The calculation puts the calculated density at 4.81 Mg/m³.

Cell: 4.470 4.470 5.340 Å, 90.00 90.00 90.00°
Sites, in units of the cell vectors:
1 Ca 0.000 0.000 0.000
2 Bi 0.500 0.500 0.500
3 S 0.000 0.000 0.500
4 N 0.000 0.500 0.000
5 N 0.500 0.000 0.000

Arrangement two

The following is a DFT calculation (PBE-GGA) of crystalline CaBiSN2 at its relaxed geometry.

The calculation puts the calculated density at 5.03 Mg/m³.

Cell: 4.313 4.313 5.487 Å, 90.00 90.00 90.00°
Sites, in units of the cell vectors:
1 N 0.000 0.500 0.000
2 Bi 0.000 0.000 0.000
3 Ca 0.500 0.500 0.500
4 N 0.500 0.000 0.000
5 S 0.000 0.000 0.500

Stability ranking, top entry: arrangement two; the second entry is 0.502 eV/atom less favorable.

Arrangement one

The following is a DFT calculation (PBE-GGA) of crystalline CaBiSe2N at its relaxed geometry.

The calculation puts the calculated density at 5.22 Mg/m³.

Cell: 5.523 5.523 4.393 Å, 90.00 90.00 90.00°
Sites, in units of the cell vectors:
1 Bi 0.500 0.500 0.500
2 N 0.000 0.000 0.500
3 Se 0.000 0.500 0.000
4 Se 0.500 0.000 0.000
5 Ca 0.000 0.000 0.000

Arrangement two

The following is a DFT calculation (PBE-GGA) of crystalline CaBiSe2N at its relaxed geometry.

The calculation puts the calculated density at 5.16 Mg/m³.

Cell: 5.566 5.566 4.375 Å, 90.00 90.00 90.00°
Sites, in units of the cell vectors:
1 Bi 0.000 0.000 0.000
2 N 0.000 0.000 0.500
3 Se 0.500 0.000 0.000
4 Ca 0.500 0.500 0.500
5 Se 0.000 0.500 0.000

Stability ranking, top entry: arrangement two; the second entry is 0.288 eV/atom less favorable.